No. 1
Computed, not measured: a relaxed LaSn3B crystal at the PBE level of DFT.

Computed properties:
Space-group type: No. 221
E above lowest polymorph in kJ per mole of atoms: 0.0
Calculated formation energy in eV/atom: 0.169
V in Å³ per atom: 24.74

Unit cell a=4.9827 b=4.9827 c=4.9827 alpha=90.00 beta=90.00 gamma=90.00
With the nearest neighbours (Å) after each atom.
Element x y z (fractional)
La (0.0000, 0.0000, 0.0000)  12 Sn 3.52
Sn (0.0000, 0.5000, 0.5000)  2 B 2.49
Sn (0.5000, 0.0000, 0.5000)  2 B 2.49
Sn (0.5000, 0.5000, 0.0000)  2 B 2.49
B (0.5000, 0.5000, 0.5000)  6 Sn 2.49


No. 2
Computed, not measured: a relaxed LaSnB crystal at the PBE level of DFT.

Computed properties:
Space-group type: No. 156
E above lowest polymorph in kJ per mole of atoms: 3.9
Calculated formation energy in eV/atom: -0.291
V in Å³ per atom: 22.54

Unit cell a=3.9448 b=3.9448 c=5.0181 alpha=90.00 beta=90.00 gamma=120.00
With the nearest neighbours (Å) after each atom.
Element x y z (fractional)
La (0.0000, 0.0000, 0.0000)  3 B 2.75
Sn (0.3333, 0.6667, 0.5088)  3 B 2.46
B (0.6667, 0.3333, 0.6917)  3 Sn 2.46


No. 3
Computed, not measured: a relaxed LaSnB crystal at the PBE level of DFT.

Computed properties:
Space-group type: No. 12
E above lowest polymorph in kJ per mole of atoms: 1.8
Calculated formation energy in eV/atom: -0.313
V in Å³ per atom: 23.26

Unit cell a=6.9728 b=6.9728 c=4.1674 alpha=93.49 beta=93.49 gamma=43.64
With the nearest neighbours (Å) after each atom.
Element x y z (fractional)
La (0.1416, 0.1416, 0.0348)  4 B 2.87-2.91
La (0.8584, 0.8584, 0.9652)  4 B 2.87-2.91
Sn (0.3749, 0.3749, 0.4861)  2 B 2.41
Sn (0.6251, 0.6251, 0.5139)  2 B 2.41
B (0.1561, 0.8439, 0.5000)  1 B 1.62
B (0.8439, 0.1561, 0.5000)  1 B 1.62